# 1
## PrInPt (meta-GGA SCAN)

Data for PrInPt at its PBEsol-relaxed geometry.

abc: 7.6769 7.6769 3.9908
angles: 90.00 90.00 120.00
Space group P-62m (No. 189)
Symmetry-distinct sites (fractional):
Pr  0.0000  0.4101  0.0000 [3 per cell]
In  0.0000  0.7468  0.5000 [3 per cell]
Pt  0.0000  0.0000  0.0000 [1 per cell]
Pt  0.3333  0.6667  0.5000 [2 per cell]

Values from the calculation:
total DFT energy (no corrections) = -50.11 eV per atom
total magnetic moment = 0.00 μB/f.u.
energy relative to the elements = -1.1407 eV per atom

---

# 2
## LiCr2Mo (meta-GGA SCAN)

Data for LiCr2Mo at its PBEsol-relaxed geometry.

abc: 8.580 2.400 4.855
angles: 90.00 91.48 90.00
Space group C2/m (No. 12)
Symmetry-distinct sites (fractional):
Li  0.000  0.000  0.000 [2 per cell]
Cr  0.245  0.500  0.241 [4 per cell]
Mo  0.000  0.500  0.500 [2 per cell]

Values from the calculation:
total DFT energy (no corrections) = -17.98 eV per atom
excess energy over the best structure of this formula in the dataset = 0.243 eV per atom
total magnetic moment = 0.00 μB/f.u.
energy relative to the elements = 0.5291 eV per atom

---

# 3
## Ta2IrBr (meta-GGA SCAN)

Data for Ta2IrBr at its PBEsol-relaxed geometry.

abc: 6.488 6.488 6.488
angles: 90.00 90.00 90.00
Space group F-43m (No. 216)
Symmetry-distinct sites (fractional):
Ta  0.000  0.000  0.000 [4 per cell]
Ta  0.250  0.250  0.250 [4 per cell]
Ir  0.000  0.000  0.500 [4 per cell]
Br  0.250  0.250  0.750 [4 per cell]

Values from the calculation:
total DFT energy (no corrections) = -55.09 eV per atom
excess energy over the best structure of this formula in the dataset = 0.764 eV per atom
energy relative to the elements, uncorrected = 0.84 eV per atom
total magnetic moment = 0.00 μB/f.u.